# MnCoOF2 | Alexandria via LeMat-Bulk | GGA+U | optimized geometry
data_MnCoOF2
_cell_length_a 4.009
_cell_length_b 4.009
_cell_length_c 3.826
_cell_angle_alpha 90.00
_cell_angle_beta 90.00
_cell_angle_gamma 90.00
_symmetry_space_group_name_H-M 'P 4/m m m'
_symmetry_Int_Tables_number 123
_symmetry_space_group_name_Hall '-P 4 2'
loop_
_atom_site_label
_atom_site_type_symbol
_atom_site_fract_x
_atom_site_fract_y
_atom_site_fract_z
_atom_site_occupancy
Mn1 Mn 0.000 0.000 0.000 1
Co1 Co 0.500 0.500 0.500 1
O1 O 0.500 0.500 0.000 1
F1 F 0.000 0.500 0.500 1
# E above lowest polymorph (eV/atom): 0.000
# Raw total energy (eV/atom): -5.62
# Spin magnetization (Bohr magnetons per cell): 8.3